Entry 1:
VASP calculation (PBE) on Ce7Sn2Ru2 after structural relaxation.

a b c (Å): 6.9861 6.9861 6.7072
angles (deg): 90.00 90.00 109.83
Atoms (fractional coordinates):
Ce 0.0000 0.0000 0.0000
Ce 0.0000 0.5000 0.2716
Ce 0.0000 0.5000 0.7284
Ce 0.5000 0.0000 0.2716
Ce 0.5000 0.0000 0.7284
Ce 0.5000 0.5000 0.2055
Ce 0.5000 0.5000 0.7945
Sn 0.1801 0.1801 0.5000
Sn 0.8199 0.8199 0.5000
Ru 0.2653 0.7347 0.0000
Ru 0.7347 0.2653 0.0000

Values from the calculation:
Space-group type: Cmmm (65)
Formation energy from the elements in meV/atom: -266
Energy in eV per cell: -71.02
V in Å³/f.u.: 307.9

***

Entry 2:
VASP calculation (PBE) on CsTcN2 after structural relaxation.

a b c (Å): 4.3702 4.3702 4.3702
angles (deg): 60.00 60.00 60.00
Atoms (fractional coordinates):
Cs 0.0000 0.0000 0.0000
Tc 0.5000 0.5000 0.5000
N 0.2500 0.2500 0.2500
N 0.7500 0.7500 0.7500

Values from the calculation:
Uncorrected formation energy in eV per atom: 2.2947
Space-group type: Fm-3m (225)
Offset from the most stable computed form in meV/atom: 2490
Energy in eV per cell: -18.69
V in Å³/f.u.: 59.0

***

Entry 3:
VASP calculation (PBE) on ScSiRu3 after structural relaxation.

a b c (Å): 4.3932 4.3932 4.3932
angles (deg): 90.00 90.00 90.00
Atoms (fractional coordinates):
Sc 0.0000 0.0000 0.0000
Si 0.5000 0.5000 0.5000
Ru 0.0000 0.5000 0.5000
Ru 0.5000 0.0000 0.5000
Ru 0.5000 0.5000 0.0000

Values from the calculation:
Uncorrected formation energy in eV per atom: 0.0389
Space-group type: Pm-3m (221)
Offset from the most stable computed form in meV/atom: 0
Energy in eV per cell: -39.39
V in Å³/f.u.: 84.8